Computed, not measured: a relaxed structure of CaTlVF6 at the GGA+U level of DFT.

SG: Imma
volume: 333.4 Å³ per cell
DOS at the Fermi energy: 0.000 states/eV/f.u.
uncorrected energy: -5.56 eV per atom
M_tot: 2.00 μB per formula unit

a b c (Å): 7.793 7.847 7.766
angles (deg): 120.35 120.12 90.00
Fractional coordinates of all 18 atoms:
Ca 0.500 0.000 0.500
Ca 0.000 0.000 0.500
Tl 0.905 0.655 0.809
Tl 0.095 0.345 0.191
V 0.500 0.500 0.000
V 0.500 0.000 0.000
F 0.463 0.713 0.926
F 0.856 0.106 0.713
F 0.803 0.092 0.247
F 0.444 0.655 0.247
F 0.444 0.092 0.247
F 0.803 0.655 0.247
F 0.537 0.287 0.074
F 0.144 0.894 0.287
F 0.197 0.908 0.753
F 0.556 0.345 0.753
F 0.556 0.908 0.753
F 0.197 0.345 0.753